Here is Ac2Al5Ag5 after structural relaxation from Alexandria via LeMat-Bulk. Energies are from PBE.

Cell lengths 4.514, 5.638, 10.024 Å; angles 90.00, 90.00, 90.00 degrees
Space group Pmmm (No. 47)
One atom of each set of equivalent atoms:
Ac: 0.000 0.000 0.000 [1 per cell]
Ac: 0.000 0.500 0.500 [1 per cell]
Al: 0.500 0.000 0.500 [1 per cell]
Al: 0.500 0.249 0.246 [4 per cell]
Ag: 0.000 0.000 0.333 [2 per cell]
Ag: 0.000 0.500 0.181 [2 per cell]
Ag: 0.500 0.500 0.000 [1 per cell]

Output
energy of formation: -0.3345 eV/atom
V: 255.09 Å³/cell



Here is AcAlAg after structural relaxation from Alexandria via LeMat-Bulk. Energies are from PBE.

Cell lengths 3.904, 3.912, 5.659 Å; angles 90.00, 90.00, 90.00 degrees
Space group Pmmm (No. 47)
One atom of each set of equivalent atoms:
Ac: 0.000 0.000 0.000 [1 per cell]
Al: 0.500 0.000 0.500 [1 per cell]
Ag: 0.000 0.500 0.500 [1 per cell]

Output
ΔE to the lowest computed polymorph: 351 meV per atom
energy of formation: 0.0210 eV/atom
V: 86.43 Å³/cell



Here is Ac4Al3Ag after structural relaxation from Alexandria via LeMat-Bulk. Energies are from PBE.

Cell lengths 4.504, 4.868, 11.741 Å; angles 90.00, 90.00, 90.00 degrees
Space group Pmm2 (No. 25)
One atom of each set of equivalent atoms:
Ac: 0.000 0.000 0.000 [1 per cell]
Ac: 0.000 0.500 0.497 [1 per cell]
Ac: 0.500 0.000 0.711 [1 per cell]
Ac: 0.500 0.500 0.212 [1 per cell]
Al: 0.000 0.500 0.791 [1 per cell]
Al: 0.500 0.000 0.417 [1 per cell]
Al: 0.500 0.500 0.920 [1 per cell]
Ag: 0.000 0.000 0.291 [1 per cell]

Output
energy of formation: -0.2597 eV/atom
V: 257.46 Å³/cell



Here is AcAl2Ag after structural relaxation from Alexandria via LeMat-Bulk. Energies are from PBE.

Cell lengths 4.4508, 4.4508, 17.4857 Å; angles 90.00, 90.00, 120.00 degrees
Space group R-3m (No. 166, hexagonal axes)
One atom of each set of equivalent atoms:
Ac: 0.0000 0.0000 0.0000 [3 per cell]
Al: 0.0000 0.0000 0.2067 [6 per cell]
Ag: 0.0000 0.0000 0.5000 [3 per cell]

Output
energy of formation: -0.3111 eV/atom
V: 299.98 Å³/cell



Here is Ac3Al7Ag4 after structural relaxation from Alexandria via LeMat-Bulk. Energies are from PBE.

Cell lengths 16.852, 4.617, 10.207 Å; angles 90.00, 126.55, 90.00 degrees
Space group C2/m (No. 12)
One atom of each set of equivalent atoms:
Ac: 0.000 0.000 0.000 [2 per cell]
Ac: 0.192 0.500 0.688 [4 per cell]
Al: 0.000 0.000 0.500 [2 per cell]
Al: 0.002 0.500 0.712 [4 per cell]
Al: 0.133 0.000 0.412 [4 per cell]
Al: 0.166 0.500 0.025 [4 per cell]
Ag: 0.133 0.000 0.858 [4 per cell]
Ag: 0.160 0.500 0.299 [4 per cell]

Output
energy of formation: -0.3027 eV/atom
V: 638.02 Å³/cell



Here is Ac2Al2Ag3 after structural relaxation from Alexandria via LeMat-Bulk. Energies are from PBE.

Cell lengths 11.798, 4.353, 7.723 Å; angles 90.00, 118.32, 90.00 degrees
Space group C2/m (No. 12)
One atom of each set of equivalent atoms:
Ac: 0.135 0.000 0.263 [4 per cell]
Al: 0.139 0.000 0.703 [4 per cell]
Ag: 0.000 0.500 0.500 [2 per cell]
Ag: 0.142 0.500 0.929 [4 per cell]

Output
ΔE to the lowest computed polymorph: 6 meV per atom
energy of formation: -0.2837 eV/atom
V: 349.11 Å³/cell



Here is Ac3Al2Ag7 after structural relaxation from Alexandria via LeMat-Bulk. Energies are from PBE.

Cell lengths 4.886, 4.519, 13.829 Å; angles 90.00, 96.99, 90.00 degrees
Space group P2/m (No. 10)
One atom of each set of equivalent atoms:
Ac: 0.000 0.000 0.000 [1 per cell]
Ac: 0.308 0.500 0.646 [2 per cell]
Al: 0.113 0.000 0.259 [2 per cell]
Ag: 0.193 0.500 0.170 [2 per cell]
Ag: 0.232 0.000 0.447 [2 per cell]
Ag: 0.415 0.000 0.831 [2 per cell]
Ag: 0.500 0.500 0.000 [1 per cell]

Output
energy of formation: -0.2331 eV/atom
V: 303.12 Å³/cell



Here is AcAl2Ag6 after structural relaxation from Alexandria via LeMat-Bulk. Energies are from PBE.

Cell lengths 4.659, 4.659, 8.606 Å; angles 90.00, 90.00, 90.00 degrees
Space group P4/mmm (No. 123)
One atom of each set of equivalent atoms:
Ac: 0.000 0.000 0.000 [1 per cell]
Al: 0.500 0.500 0.154 [2 per cell]
Ag: 0.000 0.000 0.500 [1 per cell]
Ag: 0.000 0.500 0.301 [4 per cell]
Ag: 0.500 0.500 0.500 [1 per cell]

Output
ΔE to the lowest computed polymorph: 0 meV per atom
energy of formation: -0.1735 eV/atom
V: 186.84 Å³/cell